TbSmDy2Th after structural relaxation, computed with PBE-GGA.

Geometry as CIF:
```
data_TbSmDy2Th
_chemical_formula_sum 'Tb2 Sm2 Dy4 Th2'
_cell_length_a 6.4156
_cell_length_b 6.4472
_cell_length_c 8.9049
_cell_angle_alpha 111.22
_cell_angle_beta 90.00
_cell_angle_gamma 90.00
_space_group_name_H-M_alt 'P 1'
_space_group_IT_number 1
_space_group_name_Hall 'P 1'
loop_
_atom_site_label
_atom_site_type_symbol
_atom_site_fract_x
_atom_site_fract_y
_atom_site_fract_z
Dy1 Dy 0.5000 0.2461 0.0000
Tb1 Tb 0.2500 0.2303 0.4606
Sm1 Sm 0.2500 0.6569 0.3138
Dy2 Dy 0.0000 0.2461 0.0000
Th1 Th 0.2500 0.8439 0.6879
Th2 Th 0.7500 0.1561 0.3121
Sm2 Sm 0.7500 0.3431 0.6862
Tb2 Tb 0.7500 0.7697 0.5394
Dy3 Dy 0.0000 0.7539 0.0000
Dy4 Dy 0.5000 0.7539 0.0000
```

Tb6SmDy2Th after structural relaxation, computed with PBE-GGA.

Geometry as CIF:
```
data_Tb6SmDy2Th
_chemical_formula_sum 'Tb12 Sm2 Dy4 Th2'
_cell_length_a 9.6589
_cell_length_b 8.7657
_cell_length_c 8.7657
_cell_angle_alpha 117.34
_cell_angle_beta 94.20
_cell_angle_gamma 94.20
_space_group_name_H-M_alt 'P 1'
_space_group_IT_number 1
_space_group_name_Hall 'P 1'
loop_
_atom_site_label
_atom_site_type_symbol
_atom_site_fract_x
_atom_site_fract_y
_atom_site_fract_z
Tb1 Tb 0.6193 0.4934 0.7025
Th1 Th 0.7500 0.5942 0.4058
Tb2 Tb 0.1193 0.7025 0.4934
Sm1 Sm 0.2500 0.9767 0.0233
Tb3 Tb 0.3153 0.9772 0.4276
Dy1 Dy 0.4546 0.8073 0.7061
Tb4 Tb 0.8153 0.4276 0.9772
Tb5 Tb 0.9409 0.8793 0.2532
Tb6 Tb 0.1847 0.5724 0.0228
Th2 Th 0.2500 0.4058 0.5942
Tb7 Tb 0.4409 0.2532 0.8793
Dy2 Dy 0.9546 0.7061 0.8073
Tb8 Tb 0.0591 0.1207 0.7468
Dy3 Dy 0.0454 0.2939 0.1927
Tb9 Tb 0.3807 0.5066 0.2975
Dy4 Dy 0.5454 0.1927 0.2939
Tb10 Tb 0.5591 0.7468 0.1207
Tb11 Tb 0.6847 0.0228 0.5724
Sm2 Sm 0.7500 0.0233 0.9767
Tb12 Tb 0.8807 0.2975 0.5066
```

Tb6SmDy3Th2 after structural relaxation, computed with PBE-GGA.

Geometry as CIF:
```
data_Tb6SmDy3Th2
_chemical_formula_sum 'Tb6 Sm1 Dy3 Th2'
_cell_length_a 6.1819
_cell_length_b 6.1819
_cell_length_c 11.7994
_cell_angle_alpha 95.02
_cell_angle_beta 95.02
_cell_angle_gamma 119.95
_space_group_name_H-M_alt 'P 1'
_space_group_IT_number 1
_space_group_name_Hall 'P 1'
loop_
_atom_site_label
_atom_site_type_symbol
_atom_site_fract_x
_atom_site_fract_y
_atom_site_fract_z
Tb1 Tb 0.2542 0.2542 0.7513
Dy1 Dy 0.8336 0.1664 0.5000
Tb2 Tb 0.9165 0.5789 0.7515
Tb3 Tb 0.0835 0.4211 0.2485
Sm1 Sm 0.0000 0.0000 0.0000
Dy2 Dy 0.5000 0.5000 0.5000
Th1 Th 0.6667 0.3333 0.0000
Tb4 Tb 0.5789 0.9165 0.7515
Th2 Th 0.3333 0.6667 0.0000
Tb5 Tb 0.7458 0.7458 0.2487
Tb6 Tb 0.4211 0.0835 0.2485
Dy3 Dy 0.1664 0.8336 0.5000
```

Which magnetization belongs to each record? In order, 0.00; 0.00; 0.00 μB per cell.
Which formation energy from the elements belongs to each record? In order, 0.389; 0.145; 0.029 eV/atom.